[1]
An optimized crystal structure of Cd14InSn. Source: Alexandria, functional GGA-PBE.

a = 10.516 Å, b = 6.237 Å, c = 6.237 Å
α = 67.77°, β = 90.00°, γ = 90.00°
Fractional coordinates of all 16 atoms:
Cd1 0.000 0.000 0.000
Cd2 0.000 0.490 0.490
Cd3 0.000 0.506 0.985
Cd4 0.000 0.985 0.506
Cd5 0.238 0.163 0.163
Cd6 0.240 0.151 0.669
Cd7 0.240 0.669 0.151
Cd8 0.245 0.653 0.653
Cd9 0.500 0.313 0.791
Cd10 0.500 0.791 0.313
Cd11 0.755 0.653 0.653
Cd12 0.760 0.151 0.669
Cd13 0.760 0.669 0.151
Cd14 0.762 0.163 0.163
In1 0.500 0.809 0.809
Sn1 0.500 0.295 0.295

Computed properties:
**V**: 23.67 A^3/atom
**ΔE_f**: 0.03 eV/atom

***

[2]
An optimized crystal structure of Cd7InSn3. Source: Alexandria, functional GGA-PBE.

a = 6.515 Å, b = 6.515 Å, c = 7.632 Å
α = 90.00°, β = 90.00°, γ = 120.00°
Fractional coordinates of all 11 atoms:
Cd1 0.000 0.000 0.000
Cd2 0.024 0.512 0.049
Cd3 0.177 0.354 0.689
Cd4 0.177 0.823 0.689
Cd5 0.488 0.512 0.049
Cd6 0.488 0.976 0.049
Cd7 0.646 0.823 0.689
In1 0.667 0.333 0.727
Sn1 0.330 0.165 0.366
Sn2 0.835 0.165 0.366
Sn3 0.835 0.670 0.366

Computed properties:
**V**: 25.50 A^3/atom
**ΔE_f**: 0.06 eV/atom